1.
First-principles (GGA-PBE) data for a relaxed structure of Tb2HoSc3P6, as listed in the Alexandria database.

```
data_Tb2HoSc3P6
_chemical_formula_sum 'Tb2 Ho1 Sc3 P6'
_symmetry_space_group_name_H-M 'P 1'
_symmetry_Int_Tables_number 1
_cell_length_a 6.7412
_cell_length_b 6.7412
_cell_length_c 6.7176
_cell_angle_alpha 99.62
_cell_angle_beta 99.62
_cell_angle_gamma 120.00
loop_
_symmetry_equiv_pos_as_xyz
'x,y,z'
loop_
_atom_site_label
_atom_site_type_symbol
_atom_site_fract_x
_atom_site_fract_y
_atom_site_fract_z
Tb1 Tb 0.3334 0.6666 0.0000
Tb2 Tb 0.6666 0.3334 0.0000
Ho1 Ho 0.0000 0.0000 0.0000
Sc1 Sc 0.1670 0.8330 0.5000
Sc2 Sc 0.8330 0.1670 0.5000
Sc3 Sc 0.5000 0.5000 0.5000
P1 P 0.9115 0.5796 0.7343
P2 P 0.7568 0.7568 0.2659
P3 P 0.0885 0.4204 0.2657
P4 P 0.5796 0.9115 0.7343
P5 P 0.2432 0.2432 0.7341
P6 P 0.4204 0.0885 0.2657
```

The space-group type is C2/m, No. 12. The total magnetization is 0.00 μB per cell.

=====

2.
First-principles (GGA-PBE) data for a relaxed structure of PaPF, as listed in the Alexandria database.

```
data_PaPF
_chemical_formula_sum 'Pa4 P4 F4'
_symmetry_space_group_name_H-M 'P 1'
_symmetry_Int_Tables_number 1
_cell_length_a 3.9854
_cell_length_b 6.7850
_cell_length_c 7.3113
_cell_angle_alpha 90.00
_cell_angle_beta 90.00
_cell_angle_gamma 90.00
loop_
_symmetry_equiv_pos_as_xyz
'x,y,z'
loop_
_atom_site_label
_atom_site_type_symbol
_atom_site_fract_x
_atom_site_fract_y
_atom_site_fract_z
Pa1 Pa 0.7500 0.2978 0.2965
Pa2 Pa 0.7500 0.2022 0.7965
Pa3 Pa 0.2500 0.7978 0.2035
Pa4 Pa 0.2500 0.7022 0.7035
F1 F 0.2500 0.9730 0.9054
F2 F 0.2500 0.5270 0.4054
F3 F 0.7500 0.4730 0.5946
F4 F 0.7500 0.0270 0.0946
P1 P 0.2500 0.3850 0.0228
P2 P 0.2500 0.1150 0.5228
P3 P 0.7500 0.8850 0.4772
P4 P 0.7500 0.6150 0.9772
```

The space-group type is Pnma, No. 62. The uncorrected formation energy comes out at -1911.3 meV/atom. The calculation puts the offset from the most stable computed form at 173 meV per atom. The total magnetization is 2.00 μB per cell.

=====

no.,VASP energy (eV per atom)
1,-6.976
2,-7.504